A plane-wave DFT calculation with GGA-PBE was carried out for an optimized crystal structure of PuPb3.

Summary:
For the calculated density, the calculation gives 12399 kg/m³. The calculation puts the uncorrected energy at -26.1 eV/cell. The space-group type is Pm-3m (221).

Cell lengths 4.8759, 4.8759, 4.8759 Å; angles 90.00, 90.00, 90.00 degrees
Closest atoms and distances in Å follow each position.
Element x y z (fractional)
Pb 0.5000 0.5000 0.0000  8 Pb 3.45, 4 Pu 3.45
Pb 0.5000 0.0000 0.5000  8 Pb 3.45, 4 Pu 3.45
Pb 0.0000 0.5000 0.5000  8 Pb 3.45, 4 Pu 3.45
Pu 0.0000 0.0000 0.0000  12 Pb 3.45